Entry 1:
DFT (PBE-GGA) results for an optimized crystal structure of Hf3TcN.

Its energy relative to the elements, uncorrected is -4.504 eV/f.u. The energy above the most stable polymorph in this dataset comes out at 0.0000 eV per atom.

a = 3.3049 Å, b = 11.7206 Å, c = 8.5078 Å
α = 90.00°, β = 90.00°, γ = 90.00°
Space group Cmcm (No. 63)
Symmetry-distinct sites (fractional):
Hf: 0.0000 0.0497 0.2500 [4 per cell]
Hf: 0.0000 0.3673 0.0506 [8 per cell]
Tc: 0.0000 0.2607 0.7500 [4 per cell]
N: 0.0000 0.0000 0.0000 [4 per cell]



Entry 2:
DFT (PBE-GGA) results for an optimized crystal structure of NaGaTe2Se.

Its energy relative to the elements, uncorrected is -0.175 eV/f.u.

a = 5.6628 Å, b = 5.6628 Å, c = 5.2505 Å
α = 90.00°, β = 90.00°, γ = 90.00°
Space group P4/mmm (No. 123)
Symmetry-distinct sites (fractional):
Na: 0.0000 0.0000 0.0000 [1 per cell]
Ga: 0.5000 0.5000 0.0000 [1 per cell]
Te: 0.0000 0.5000 0.5000 [2 per cell]
Se: 0.5000 0.5000 0.5000 [1 per cell]



Entry 3:
DFT (PBE-GGA) results for an optimized crystal structure of Nd7SmSc3.

The value obtained for the calculated formation energy is 0.23 eV per atom.

a = 5.8670 Å, b = 10.7742 Å, c = 11.4577 Å
α = 90.00°, β = 90.00°, γ = 90.00°
Space group Immm (No. 71)
Symmetry-distinct sites (fractional):
Nd: 0.0000 0.0000 0.0000 [2 per cell]
Nd: 0.0000 0.1959 0.5000 [4 per cell]
Nd: 0.0000 0.3109 0.2090 [8 per cell]
Sm: 0.0000 0.5000 0.5000 [2 per cell]
Sc: 0.0000 0.0000 0.2901 [4 per cell]
Sc: 0.0000 0.5000 0.0000 [2 per cell]



Entry 4:
DFT (PBE-GGA) results for an optimized crystal structure of MgAg2Au.

The value obtained for the calculated formation energy is 0.02 eV per atom.

a = 7.5808 Å, b = 7.5808 Å, c = 5.5658 Å
α = 90.00°, β = 90.00°, γ = 90.00°
Space group I-42d (No. 122)
Symmetry-distinct sites (fractional):
Mg: 0.0000 0.0000 0.0000 [4 per cell]
Ag: 0.2494 0.2500 0.6250 [8 per cell]
Au: 0.0000 0.0000 0.5000 [4 per cell]



Entry 5:
DFT (PBE-GGA) results for an optimized crystal structure of LiCaSb2I.

Its energy relative to the elements, uncorrected is 0.300 eV/f.u. The energy above the most stable polymorph in this dataset comes out at 0.3180 eV per atom.

a = 5.8855 Å, b = 5.8855 Å, c = 6.0949 Å
α = 90.00°, β = 90.00°, γ = 90.00°
Space group P4/mmm (No. 123)
Symmetry-distinct sites (fractional):
Li: 0.0000 0.0000 0.0000 [1 per cell]
Ca: 0.5000 0.5000 0.5000 [1 per cell]
Sb: 0.0000 0.5000 0.5000 [2 per cell]
I: 0.5000 0.5000 0.0000 [1 per cell]



Entry 6:
DFT (PBE-GGA) results for an optimized crystal structure of K2CaSI.

Its energy relative to the elements, uncorrected is -0.207 eV/f.u.

a = 7.2168 Å, b = 7.2168 Å, c = 5.7006 Å
α = 90.00°, β = 90.00°, γ = 90.00°
Space group P4/mmm (No. 123)
Symmetry-distinct sites (fractional):
K: 0.0000 0.5000 0.0000 [2 per cell]
Ca: 0.0000 0.0000 0.0000 [1 per cell]
S: 0.5000 0.5000 0.5000 [1 per cell]
I: 0.0000 0.0000 0.5000 [1 per cell]



Number 1: total magnetization 0.00 μB per formula unit. Number 2: total magnetization 0.00 μB per formula unit. Number 3: total magnetization 0.12 μB per formula unit. Number 4: total magnetization 0.00 μB per formula unit. Number 5: total magnetization 0.57 μB per formula unit. Number 6: total magnetization 1.00 μB per formula unit.